Here is a relaxed MnCoS2 crystal from Alexandria. Energies are from PBE.

For the spin magnetization, the calculation gives 0.22 μB per cell. Its energy above the most stable polymorph in this dataset is 0 meV/atom. As for the uncorrected formation energy: -2.183 eV/f.u. For the volume, the calculation gives 18.5 Å³/atom.

Cell lengths 3.618, 3.619, 5.664 Å; angles 90.00, 90.15, 90.00 degrees
Space group Pm (No. 6)
Unique sites:
Mn  0.000  0.000  0.000 x1
Co  0.500  0.500  0.000 x1
S  0.001  0.500  0.216 x1
S  0.499  0.000  0.784 x1

=====

Here is a relaxed MnCoS2 crystal from Alexandria. Energies are from PBE.

For the spin magnetization, the calculation gives 11.28 μB per cell. Its energy above the most stable polymorph in this dataset is 389 meV/atom. As for the uncorrected formation energy: -0.628 eV/f.u. For the volume, the calculation gives 15.6 Å³/atom.

Cell lengths 3.1974, 3.1974, 21.0791 Å; angles 90.00, 90.00, 120.00 degrees
Space group R-3m (No. 166, hexagonal axes)
Unique sites:
Mn  0.0000  0.0000  0.0000 x3
Co  0.0000  0.0000  0.5000 x3
S  0.0000  0.0000  0.3986 x6

=====

Here is a relaxed Mn2CoS4 crystal from Alexandria. Energies are from PBE.

For the spin magnetization, the calculation gives 37.80 μB per cell. As for the uncorrected formation energy: -3.947 eV/f.u. For the volume, the calculation gives 16.1 Å³/atom.

Cell lengths 9.660, 9.660, 9.660 Å; angles 90.00, 90.00, 90.00 degrees
Space group Fd-3m (No. 227, origin choice 2)
Unique sites:
Mn  0.000  0.000  0.000 x16
Co  0.125  0.125  0.625 x8
S  0.004  0.004  0.246 x32

=====

Here is a relaxed MnCoS3 crystal from Alexandria. Energies are from PBE.

For the spin magnetization, the calculation gives 4.92 μB per cell. Its energy above the most stable polymorph in this dataset is 0 meV/atom. As for the uncorrected formation energy: -2.372 eV/f.u. For the volume, the calculation gives 15.3 Å³/atom.

Cell lengths 5.926, 3.315, 8.043 Å; angles 90.00, 104.31, 90.00 degrees
Space group P2_1/m (No. 11)
Unique sites:
Mn  0.135  0.250  0.165 x2
Co  0.273  0.250  0.517 x2
S  0.033  0.750  0.348 x2
S  0.239  0.750  0.000 x2
S  0.482  0.750  0.654 x2

=====

Here is a relaxed Mn2CoS4 crystal from Alexandria. Energies are from PBE.

For the spin magnetization, the calculation gives 14.47 μB per cell. As for the uncorrected formation energy: 0.379 eV/f.u. For the volume, the calculation gives 17.7 Å³/atom.

Cell lengths 4.638, 4.638, 11.496 Å; angles 90.00, 90.00, 90.00 degrees
Space group I4/mmm (No. 139)
Unique sites:
Mn  0.000  0.000  0.120 x4
Co  0.000  0.000  0.500 x2
S  0.000  0.000  0.309 x4
S  0.000  0.500  0.000 x4

=====

Here is a relaxed MnCo2S4 crystal from Alexandria. Energies are from PBE.

For the spin magnetization, the calculation gives 13.08 μB per cell. Its energy above the most stable polymorph in this dataset is 714 meV/atom. As for the uncorrected formation energy: 1.630 eV/f.u. For the volume, the calculation gives 16.8 Å³/atom.

Cell lengths 4.618, 4.618, 11.019 Å; angles 90.00, 90.00, 90.00 degrees
Space group I4/mmm (No. 139)
Unique sites:
Mn  0.000  0.000  0.000 x2
Co  0.000  0.000  0.398 x4
S  0.000  0.000  0.211 x4
S  0.000  0.500  0.000 x4

=====

Here is a relaxed MnCoS3 crystal from Alexandria. Energies are from PBE.

For the spin magnetization, the calculation gives 6.43 μB per cell. Its energy above the most stable polymorph in this dataset is 1065 meV/atom. As for the uncorrected formation energy: 2.952 eV/f.u. For the volume, the calculation gives 18.2 Å³/atom.

Cell lengths 4.501, 4.501, 4.501 Å; angles 90.00, 90.00, 90.00 degrees
Space group Pm-3m (No. 221)
Unique sites:
Mn  0.000  0.000  0.000 x1
Co  0.500  0.500  0.500 x1
S  0.000  0.000  0.500 x3

=====

Here is a relaxed Mn2CoS crystal from Alexandria. Energies are from PBE.

For the spin magnetization, the calculation gives 4.39 μB per cell. As for the uncorrected formation energy: 2.201 eV/f.u. For the volume, the calculation gives 15.3 Å³/atom.

Cell lengths 5.036, 5.036, 9.665 Å; angles 90.00, 90.00, 90.00 degrees
Space group I-42d (No. 122)
Unique sites:
Mn  0.248  0.250  0.125 x8
Co  0.000  0.000  0.000 x4
S  0.000  0.000  0.500 x4

=====

Here is a relaxed MnCoTeS crystal from Alexandria. Energies are from PBE.

For the spin magnetization, the calculation gives 5.80 μB per cell. Its energy above the most stable polymorph in this dataset is 24 meV/atom. As for the uncorrected formation energy: -1.066 eV/f.u. For the volume, the calculation gives 21.3 Å³/atom.

Cell lengths 6.740, 3.907, 6.458 Å; angles 90.00, 90.74, 90.00 degrees
Space group Cm (No. 8)
Unique sites:
Mn  0.000  0.000  0.000 x2
Co  0.167  0.500  0.198 x2
Te  0.335  0.000  0.347 x2
S  0.164  0.500  0.861 x2

=====

Here is a relaxed MnCoTeS crystal from Alexandria. Energies are from PBE.

For the spin magnetization, the calculation gives 2.76 μB per cell. Its energy above the most stable polymorph in this dataset is 0 meV/atom. As for the uncorrected formation energy: -1.163 eV/f.u. For the volume, the calculation gives 21.8 Å³/atom.

Cell lengths 3.8709, 3.8709, 6.7240 Å; angles 90.00, 90.00, 120.00 degrees
Space group P3m1 (No. 156)
Unique sites:
Mn  0.0000  0.0000  0.0000 x1
Co  0.6667  0.3333  0.2218 x1
Te  0.0000  0.0000  0.3896 x1
S  0.6667  0.3333  0.8989 x1

=====

Here is a relaxed MnCoTeS crystal from Alexandria. Energies are from PBE.

For the spin magnetization, the calculation gives 5.75 μB per cell. Its energy above the most stable polymorph in this dataset is 147 meV/atom. As for the uncorrected formation energy: -0.575 eV/f.u. For the volume, the calculation gives 17.1 Å³/atom.

Cell lengths 3.476, 3.249, 12.093 Å; angles 90.00, 90.00, 90.00 degrees
Space group Amm2 (No. 38)
Unique sites:
Mn  0.000  0.000  0.000 x2
Co  0.500  0.000  0.167 x2
Te  0.000  0.000  0.776 x2
S  0.500  0.000  0.532 x2

=====

Here is a relaxed MnCoTeS crystal from Alexandria. Energies are from PBE.

For the spin magnetization, the calculation gives 7.28 μB per cell. Its energy above the most stable polymorph in this dataset is 172 meV/atom. As for the uncorrected formation energy: -0.476 eV/f.u. For the volume, the calculation gives 16.8 Å³/atom.

Cell lengths 3.4751, 3.4751, 19.3337 Å; angles 90.00, 90.00, 120.00 degrees
Space group R3m (No. 160, hexagonal axes)
Unique sites:
Mn  0.0000  0.0000  0.0000 x3
Co  0.0000  0.0000  0.8690 x3
Te  0.0000  0.0000  0.4394 x3
S  0.0000  0.0000  0.2580 x3